VASP calculation (GGA-PBE) on a relaxed structure of La6Zn2Au.

CIF file:
```
data_La6Zn2Au
_space_group_name_H-M_alt 'F m m m'
_space_group_IT_number 69
_space_group_name_Hall '-F 2 2'
_cell_length_a 5.398
_cell_length_b 12.562
_cell_length_c 16.155
_cell_angle_alpha 90.00
_cell_angle_beta 90.00
_cell_angle_gamma 90.00
loop_
_atom_site_label
_atom_site_fract_x
_atom_site_fract_y
_atom_site_fract_z
La1 0.000 0.141 0.000
La2 0.000 0.146 0.334
Zn1 0.000 0.000 0.171
Au1 0.000 0.000 0.500
```

For the formation energy from the elements, the calculation gives -0.2976 eV per atom. Its density of states at the Fermi level is 10.09 states/eV/f.u. The total energy comes out at -152.3 eV per cell. The energy relative to the lowest polymorph listed for this composition is 0.0 kJ/mol of atoms.

VASP calculation (GGA-PBE) on a relaxed structure of Pu2AlGa4Ni3.

CIF file:
```
data_Pu2AlGa4Ni3
_space_group_name_H-M_alt 'P -4 m 2'
_space_group_IT_number 115
_cell_length_a 3.989
_cell_length_b 3.989
_cell_length_c 10.788
_cell_angle_alpha 90.00
_cell_angle_beta 90.00
_cell_angle_gamma 90.00
loop_
_space_group_symop_operation_xyz
'x,y,z'
'y,-x,-z'
'-x,-y,z'
'-y,x,-z'
'-x,y,z'
'-y,-x,-z'
'x,-y,z'
'y,x,-z'
loop_
_atom_site_label
_atom_site_fract_x
_atom_site_fract_y
_atom_site_fract_z
Pu1 0.000 0.500 0.238
Al1 0.000 0.000 0.500
Ga1 0.000 0.000 0.000
Ga2 0.000 0.500 0.644
Ga3 0.500 0.500 0.000
Ni1 0.000 0.500 0.866
Ni2 0.500 0.500 0.500
```

For the formation energy from the elements, the calculation gives -0.3809 eV per atom. Its density of states at the Fermi level is 26.95 states/eV/f.u. The total energy comes out at -65.7 eV per cell.

> Which of these has the highest formation energy from the elements?

La6Zn2Au

> What is the formation energy from the elements in the first record?

-0.2976 eV per atom

> What is the formation energy from the elements in the second record?

-0.3809 eV per atom